--- w ---
This record from Alexandria via LeMat-Bulk describes crystalline NaMoAs at its relaxed geometry. The functional is GGA-PBE.

```
data_NaMoAs
_chemical_formula_sum 'Na2 Mo2 As2'
_space_group_name_H-M_alt 'P 1'
_space_group_IT_number 1
_space_group_name_Hall 'P 1'
_cell_length_a 3.224
_cell_length_b 3.224
_cell_length_c 11.669
_cell_angle_alpha 90.00
_cell_angle_beta 90.00
_cell_angle_gamma 90.00
loop_
_atom_site_label
_atom_site_fract_x
_atom_site_fract_y
_atom_site_fract_z
Na1 0.000 0.000 0.000
Na2 0.500 0.500 0.500
Mo1 0.000 0.000 0.288
Mo2 0.500 0.500 0.788
As1 0.000 0.000 0.690
As2 0.500 0.500 0.190
```

Output
**Space-group type**: No. 107
**Calculated density**: 5.3 Mg/m³
**Total magnetization**: 0.00 μB/f.u.

---

--- x ---
This record from Alexandria via LeMat-Bulk describes crystalline NaMoAs at its relaxed geometry. The functional is GGA-PBE.

```
data_NaMoAs
_chemical_formula_sum 'Na1 Mo1 As1'
_space_group_name_H-M_alt 'P 1'
_space_group_IT_number 1
_space_group_name_Hall 'P 1'
_cell_length_a 4.631
_cell_length_b 4.631
_cell_length_c 2.798
_cell_angle_alpha 90.00
_cell_angle_beta 90.00
_cell_angle_gamma 120.00
loop_
_atom_site_label
_atom_site_fract_x
_atom_site_fract_y
_atom_site_fract_z
Na1 0.000 0.000 0.000
Mo1 0.667 0.333 0.500
As1 0.333 0.667 0.500
```

Output
**Space-group type**: No. 187
**Calculated density**: 6.2 Mg/m³
**Total magnetization**: 0.00 μB/f.u.

---

Among the structures shown above, w is the most stable, with the second-best lying 189 meV per atom higher.